ZnRe2RuW (GGA-PBE, relaxed); size of the total moment = 2.6 μB per cell; E = -7.387 eV per atom
1.0
-4.594 0.592 -0.809
-0.852 -4.321 1.673
-0.531 1.778 4.321
Re Zn W Ru
2 1 1 1
direct
0.000 0.000 0.500
0.500 0.000 0.000
0.000 0.500 0.000
0.000 0.000 0.000
0.500 0.500 0.500